InCu5Au6: relaxed, PBE-GGA.

a b c (Å): 4.336 8.077 7.642
angles (deg): 58.10 73.36 57.18
Fractional coordinates of all 12 atoms:
Au (0.736, 0.436, 0.656)
Au (0.773, 0.726, 0.000)
Au (0.264, 0.564, 0.344)
In (0.000, 0.000, 0.000)
Au (0.227, 0.274, 0.000)
Au (0.736, 0.092, 0.344)
Au (0.264, 0.908, 0.656)
Cu (0.000, 0.327, 0.346)
Cu (0.500, 0.840, 0.321)
Cu (0.500, 0.160, 0.679)
Cu (0.500, 0.500, 0.000)
Cu (0.000, 0.673, 0.654)

Calculated values
Total moment in μB per cell: 0.0
Formation energy in eV/atom: -0.051
Theoretical density in g/cm3: 14.0



ThInTc: relaxed, PBE-GGA.

a b c (Å): 6.947 8.704 8.704
angles (deg): 75.00 66.48 66.48
Fractional coordinates of all 18 atoms:
Tc (0.412, 0.000, 0.000)
Tc (0.177, 0.394, 0.394)
In (0.825, 0.470, 0.970)
Th (0.872, 0.837, 0.837)
Th (0.546, 0.163, 0.163)
Tc (0.965, 0.106, 0.106)
Th (0.546, 0.663, 0.663)
Th (0.380, 0.250, 0.750)
Tc (0.965, 0.606, 0.606)
In (0.265, 0.530, 0.030)
Tc (0.177, 0.894, 0.894)
In (0.265, 0.030, 0.530)
In (0.870, 0.750, 0.250)
Tc (0.412, 0.500, 0.500)
In (0.871, 0.250, 0.750)
Th (0.872, 0.337, 0.337)
Th (0.380, 0.750, 0.250)
In (0.825, 0.970, 0.470)

Calculated values
Total moment in μB per cell: 0.0
Formation energy in eV/atom: -0.004
Energy relative to the lowest polymorph listed for this composition in eV/atom: 0.234
Theoretical density in g/cm3: 10.1



Al2GaNi8: relaxed, PBE-GGA.

a b c (Å): 3.859 6.176 6.569
angles (deg): 118.04 107.08 90.00
Fractional coordinates of all 11 atoms:
Ni (0.153, 0.153, 0.307)
Ga (0.500, 0.000, 0.000)
Ni (0.348, 0.565, 0.696)
Ni (0.652, 0.435, 0.304)
Al (0.196, 0.696, 0.391)
Ni (0.847, 0.847, 0.693)
Ni (0.348, 0.131, 0.696)
Ni (0.652, 0.869, 0.304)
Al (0.804, 0.304, 0.609)
Ni (0.000, 0.298, 0.000)
Ni (0.000, 0.702, 0.000)

Calculated values
Total moment in μB per cell: 0.0
Formation energy in eV/atom: -0.293
Energy relative to the lowest polymorph listed for this composition in eV/atom: 0.000
Theoretical density in g/cm3: 7.6



NaSr2PbN: relaxed, PBE-GGA.

a b c (Å): 5.223 5.223 5.099
angles (deg): 90.00 90.00 90.00
Fractional coordinates of all 5 atoms:
Sr (0.500, 0.000, 0.000)
Sr (0.000, 0.500, 0.000)
Pb (0.500, 0.500, 0.500)
N (0.000, 0.000, 0.000)
Na (0.000, 0.000, 0.500)

Calculated values
Formation energy without anion corrections in meV/atom: -292
Total moment in μB per cell: 0.0
Theoretical density in g/cm3: 5.0



Tl2In2Se: relaxed, PBE-GGA.

a b c (Å): 7.672 7.672 5.099
angles (deg): 90.00 90.00 90.00
Fractional coordinates of all 10 atoms:
In (0.856, 0.644, 0.000)
In (0.356, 0.856, 0.000)
Tl (0.665, 0.835, 0.500)
In (0.144, 0.356, 0.000)
Tl (0.835, 0.335, 0.500)
Se (0.500, 0.500, 0.000)
In (0.644, 0.144, 0.000)
Se (0.000, 0.000, 0.000)
Tl (0.165, 0.665, 0.500)
Tl (0.335, 0.165, 0.500)

Calculated values
Formation energy without anion corrections in meV/atom: -75
Total moment in μB per cell: 0.0
Energy relative to the lowest polymorph listed for this composition in eV/atom: 0.000
Theoretical density in g/cm3: 7.9



Tb5Sm3In2: relaxed, PBE-GGA.

a b c (Å): 6.435 10.613 10.613
angles (deg): 94.65 72.35 72.35
Fractional coordinates of all 20 atoms:
Tb (0.498, 0.252, 0.252)
Sm (0.385, 0.353, 0.877)
Tb (0.625, 0.212, 0.538)
Tb (0.998, 0.252, 0.252)
Tb (0.250, 0.500, 0.500)
Sm (0.750, 0.000, 0.000)
Sm (0.615, 0.647, 0.123)
Tb (0.125, 0.538, 0.212)
Tb (0.002, 0.748, 0.748)
Tb (0.502, 0.748, 0.748)
Sm (0.250, 0.000, 0.000)
In (0.135, 0.718, 0.012)
Tb (0.750, 0.500, 0.500)
Tb (0.875, 0.462, 0.788)
In (0.635, 0.012, 0.718)
Sm (0.115, 0.123, 0.647)
In (0.865, 0.282, 0.988)
Tb (0.375, 0.788, 0.462)
In (0.365, 0.988, 0.282)
Sm (0.885, 0.877, 0.353)

Calculated values
Total moment in μB per cell: 0.0
Formation energy in eV/atom: 0.066
Theoretical density in g/cm3: 7.6